(1)
A relaxed Li2AcMgTl2 crystal. Source: the Alexandria database, functional PBE-GGA.

Calculated values
energy of formation from the pure elements = -31 meV per atom

```
data_Li2AcMgTl2
_chemical_formula_sum 'Li6 Ac3 Mg3 Tl6'
_cell_length_a 4.1444
_cell_length_b 4.1444
_cell_length_c 34.5735
_cell_angle_alpha 90.00
_cell_angle_beta 90.00
_cell_angle_gamma 120.00
_space_group_name_H-M_alt 'R -3 m'
_space_group_IT_number 166
_space_group_name_Hall '-R 3 2"'
loop_
_atom_site_label
_atom_site_type_symbol
_atom_site_fract_x
_atom_site_fract_y
_atom_site_fract_z
Li1 Li 0.0000 0.0000 0.2170
Ac1 Ac 0.0000 0.0000 0.0000
Mg1 Mg 0.0000 0.0000 0.5000
Tl1 Tl 0.0000 0.0000 0.4068
```

---

(2)
A relaxed ZrCdRu2 crystal. Source: the Alexandria database, functional PBE-GGA.

Calculated values
energy of formation from the pure elements = 57 meV per atom

```
data_ZrCdRu2
_chemical_formula_sum 'Zr1 Cd1 Ru2'
_cell_length_a 4.649
_cell_length_b 3.084
_cell_length_c 5.108
_cell_angle_alpha 90.00
_cell_angle_beta 110.29
_cell_angle_gamma 90.00
_space_group_name_H-M_alt 'P 1 2/m 1'
_space_group_IT_number 10
_space_group_name_Hall '-P 2y'
loop_
_atom_site_label
_atom_site_type_symbol
_atom_site_fract_x
_atom_site_fract_y
_atom_site_fract_z
Zr1 Zr 0.000 0.000 0.000
Cd1 Cd 0.000 0.500 0.500
Ru1 Ru 0.500 0.000 0.500
Ru2 Ru 0.500 0.500 0.000
```